InNi | PBE-GGA | optimized geometry

Cell and atoms, written as CIF:
```
data_InNi
_chemical_formula_sum 'In6 Ni6'
_cell_length_a 4.1720
_cell_length_b 4.1720
_cell_length_c 13.9023
_cell_angle_alpha 90.00
_cell_angle_beta 90.00
_cell_angle_gamma 120.00
_symmetry_space_group_name_H-M 'R -3 m'
_symmetry_Int_Tables_number 166
_symmetry_space_group_name_Hall '-R 3 2"'
loop_
_atom_site_label
_atom_site_type_symbol
_atom_site_fract_x
_atom_site_fract_y
_atom_site_fract_z
In1 In 0.0000 0.0000 0.1050
Ni1 Ni 0.0000 0.0000 0.3096
```

Summary:
V = 210 Å³ per cell
Calculated formation energy = 0.1 eV per formula unit